No. 1
Ho12ErTh3 (PBE-GGA, optimized geometry); electronic total energy = -5.075 eV/atom; space-group type = P4/mmm; D(E_F) = 24.1 states/eV/cell
1.0
5.0057 0.0000 0.0000
0.0000 5.0057 0.0000
0.0000 0.0000 19.9160
Ho Er Th
12 1 3
Direct
0.0000 0.0000 0.0000 Ho
0.0000 0.0000 0.2505 Ho
0.0000 0.0000 0.5000 Ho
0.0000 0.0000 0.7495 Ho
0.0000 0.5000 0.1249 Ho
0.0000 0.5000 0.3743 Ho
0.0000 0.5000 0.6257 Ho
0.0000 0.5000 0.8751 Ho
0.5000 0.0000 0.1249 Ho
0.5000 0.0000 0.3743 Ho
0.5000 0.0000 0.6257 Ho
0.5000 0.0000 0.8751 Ho
0.5000 0.5000 0.5000 Er
0.5000 0.5000 0.0000 Th
0.5000 0.5000 0.2493 Th
0.5000 0.5000 0.7507 Th

***

No. 2
Ho5ErTh (PBE-GGA, optimized geometry); space-group type = Imm2; energy above the lowest structure with this stoichiometry = 0.094 eV per atom; D(E_F) = 19.4 states/eV/cell
1.0
6.5344 0.0000 0.0000
0.0000 6.5421 0.0000
0.0000 0.0000 10.3961
Ho Er Th
10 2 2
Direct
0.0000 0.0000 0.0000 Ho
0.0000 0.2726 0.4450 Ho
0.0000 0.7274 0.4450 Ho
0.2267 0.5000 0.7506 Ho
0.2733 0.0000 0.2506 Ho
0.5000 0.2274 0.9450 Ho
0.5000 0.5000 0.5000 Ho
0.5000 0.7726 0.9450 Ho
0.7267 0.0000 0.2506 Ho
0.7733 0.5000 0.7506 Ho
0.0000 0.5000 0.0997 Er
0.5000 0.0000 0.5997 Er
0.0000 0.0000 0.7062 Th
0.5000 0.5000 0.2062 Th

***

No. 3
HoEr4Th2 (PBE-GGA, optimized geometry); space-group type = P-1; energy above the lowest structure with this stoichiometry = 0.000 eV per atom; D(E_F) = 11.7 states/eV/cell
1.0
3.4519 0.0000 0.0000
1.2271 8.3865 0.0000
0.0059 4.0560 7.6515
Ho Er Th
1 4 2
Direct
0.0000 0.0000 0.0000 Ho
0.0447 0.4472 0.7164 Er
0.3659 0.8510 0.4212 Er
0.6341 0.1490 0.5788 Er
0.9553 0.5528 0.2836 Er
0.4103 0.7190 0.8669 Th
0.5897 0.2810 0.1331 Th

***

No. 4
HoEr4Th4 (PBE-GGA, optimized geometry); electronic total energy = -5.793 eV/atom; space-group type = I4/mmm; D(E_F) = 14.3 states/eV/cell
1.0
-5.3135 5.3135 2.5109
5.3135 -5.3135 2.5109
5.3135 5.3135 -2.5109
Ho Er Th
1 4 4
Direct
0.0000 0.0000 0.0000 Ho
0.0000 0.3303 0.3303 Er
0.0000 0.6697 0.6697 Er
0.3303 0.0000 0.3303 Er
0.6697 0.0000 0.6697 Er
0.3340 0.3340 0.6679 Th
0.3340 0.6660 0.0000 Th
0.6660 0.3340 0.0000 Th
0.6660 0.6660 0.3321 Th

***

No. 5
Ho10ErTh4 (PBE-GGA, optimized geometry); electronic total energy = -5.039 eV/atom; space-group type = I4/m; D(E_F) = 21.2 states/eV/cell
1.0
-5.6301 5.6301 3.8664
5.6301 -5.6301 3.8664
5.6301 5.6301 -3.8664
Ho Er Th
10 1 4
Direct
0.0008 0.7920 0.2085 Ho
0.2080 0.4165 0.2088 Ho
0.2077 0.9992 0.7912 Ho
0.2500 0.7500 0.5000 Ho
0.4165 0.2077 0.2085 Ho
0.5835 0.7923 0.7915 Ho
0.7500 0.2500 0.5000 Ho
0.7923 0.0008 0.2088 Ho
0.7920 0.5835 0.7912 Ho
0.9992 0.2080 0.7915 Ho
0.5000 0.5000 0.0000 Er
0.2719 0.2727 0.5446 Th
0.2727 0.7281 0.0008 Th
0.7273 0.2719 0.9992 Th
0.7281 0.7273 0.4554 Th

***

No. 6
Ho5Er2Th (PBE-GGA, optimized geometry); electronic total energy = -4.903 eV/atom; space-group type = Pbam; D(E_F) = 23.2 states/eV/cell
1.0
7.0571 0.0000 0.0000
0.0000 14.1404 0.0000
0.0000 0.0000 4.9889
Ho Er Th
10 4 2
Direct
0.0000 0.0000 0.0000 Ho
0.0017 0.2509 0.0000 Ho
0.2465 0.3765 0.5000 Ho
0.2535 0.8765 0.5000 Ho
0.4983 0.7509 0.0000 Ho
0.5000 0.5000 0.0000 Ho
0.5017 0.2491 0.0000 Ho
0.7465 0.1235 0.5000 Ho
0.7535 0.6235 0.5000 Ho
0.9983 0.7491 0.0000 Ho
0.2445 0.6235 0.5000 Er
0.2555 0.1235 0.5000 Er
0.7445 0.8765 0.5000 Er
0.7555 0.3765 0.5000 Er
0.0000 0.5000 0.0000 Th
0.5000 0.0000 0.0000 Th

***

No. 7
Ho6ErTh3 (PBE-GGA, optimized geometry); space-group type = P2_1/m; energy above the lowest structure with this stoichiometry = 0.000 eV per atom; D(E_F) = 31.8 states/eV/cell
1.0
13.0688 0.0000 0.0000
0.0000 3.4995 0.0000
-4.6174 0.0000 13.8697
Ho Er Th
12 2 6
Direct
0.1064 0.2500 0.2091 Ho
0.1604 0.7500 0.7757 Ho
0.2412 0.2500 0.5984 Ho
0.2852 0.7500 0.3995 Ho
0.3456 0.7500 0.1911 Ho
0.3602 0.2500 0.9860 Ho
0.6398 0.7500 0.0140 Ho
0.6544 0.2500 0.8089 Ho
0.7148 0.2500 0.6005 Ho
0.7588 0.7500 0.4016 Ho
0.8396 0.2500 0.2243 Ho
0.8936 0.7500 0.7909 Ho
0.4193 0.7500 0.8030 Er
0.5807 0.2500 0.1970 Er
0.0342 0.7500 0.4100 Th
0.1154 0.7500 0.9963 Th
0.4936 0.7500 0.6049 Th
0.5064 0.2500 0.3951 Th
0.8846 0.2500 0.0037 Th
0.9658 0.2500 0.5900 Th

***

No. 8
HoEr5Th2 (PBE-GGA, optimized geometry); space-group type = Immm; energy above the lowest structure with this stoichiometry = 0.000 eV per atom; D(E_F) = 27.4 states/eV/cell
1.0
3.4967 0.0000 0.0000
0.0000 11.0837 0.0000
0.0000 0.0000 13.0991
Ho Er Th
2 10 4
Direct
0.0000 0.0000 0.0000 Ho
0.5000 0.5000 0.5000 Ho
0.0000 0.2336 0.3697 Er
0.0000 0.2336 0.6303 Er
0.0000 0.5000 0.0000 Er
0.0000 0.7664 0.3697 Er
0.0000 0.7664 0.6303 Er
0.5000 0.0000 0.5000 Er
0.5000 0.2664 0.1303 Er
0.5000 0.2664 0.8697 Er
0.5000 0.7336 0.1303 Er
0.5000 0.7336 0.8697 Er
0.0000 0.5000 0.2581 Th
0.0000 0.5000 0.7419 Th
0.5000 0.0000 0.2419 Th
0.5000 0.0000 0.7581 Th